# 1
A geometry-optimized NbAg3Sb structure, computed with GGA-PBE.

Cell and atoms, written as CIF:
```
data_NbAg3Sb
_chemical_formula_sum 'Nb1 Ag3 Sb1'
_space_group_name_H-M_alt 'P m -3 m'
_space_group_IT_number 221
_space_group_name_Hall '-P 4 2 3'
_cell_length_a 5.1465
_cell_length_b 5.1465
_cell_length_c 5.1465
_cell_angle_alpha 90.00
_cell_angle_beta 90.00
_cell_angle_gamma 90.00
loop_
_atom_site_label
_atom_site_fract_x
_atom_site_fract_y
_atom_site_fract_z
Nb1 0.0000 0.0000 0.0000
Ag1 0.0000 0.0000 0.5000
Sb1 0.5000 0.5000 0.5000
```

Properties
formation energy without anion corrections	1391	meV/atom
relative energy among the computed polymorphs	0.228	eV per atom
density of states at the Fermi level	6.6	states/eV/f.u.
total DFT energy (no corrections)	-15.79	eV/cell

---

# 2
A geometry-optimized BeBiI2 structure, computed with GGA-PBE.

Cell and atoms, written as CIF:
```
data_BeBiI2
_chemical_formula_sum 'Be4 Bi4 I8'
_space_group_name_H-M_alt 'I -4 2 d'
_space_group_IT_number 122
_space_group_name_Hall 'I -4 2bw'
_cell_length_a 7.4296
_cell_length_b 7.4296
_cell_length_c 10.2808
_cell_angle_alpha 90.00
_cell_angle_beta 90.00
_cell_angle_gamma 90.00
loop_
_atom_site_label
_atom_site_fract_x
_atom_site_fract_y
_atom_site_fract_z
Be1 0.0000 0.0000 0.0000
Bi1 0.0000 0.0000 0.5000
I1 0.1201 0.2500 0.1250
```

Properties
formation energy without anion corrections	354	meV/atom
relative energy among the computed polymorphs	0.000	eV per atom
density of states at the Fermi level	2.2	states/eV/f.u.
total DFT energy (no corrections)	-37.17	eV/cell

---

# 3
A geometry-optimized TlNiAg2 structure, computed with GGA-PBE.

Cell and atoms, written as CIF:
```
data_TlNiAg2
_chemical_formula_sum 'Tl1 Ni1 Ag2'
_space_group_name_H-M_alt 'P 1 2/m 1'
_space_group_IT_number 10
_space_group_name_Hall '-P 2y'
_cell_length_a 3.0539
_cell_length_b 4.9929
_cell_length_c 4.7741
_cell_angle_alpha 90.00
_cell_angle_beta 92.12
_cell_angle_gamma 90.00
loop_
_atom_site_label
_atom_site_fract_x
_atom_site_fract_y
_atom_site_fract_z
Tl1 0.0000 0.0000 0.0000
Ni1 0.5000 0.0000 0.5000
Ag1 0.2603 0.5000 0.7396
```

Properties
relative energy among the computed polymorphs	0.080	eV per atom
density of states at the Fermi level	2.3	states/eV/f.u.
formation enthalpy at 0 K	0.29	eV per atom
total DFT energy (no corrections)	-12.70	eV/cell

---

# 4
A geometry-optimized Pa2BeSn structure, computed with GGA-PBE.

Cell and atoms, written as CIF:
```
data_Pa2BeSn
_chemical_formula_sum 'Pa6 Be3 Sn3'
_space_group_name_H-M_alt 'R -3 m'
_space_group_IT_number 166
_space_group_name_Hall '-R 3 2"'
_cell_length_a 4.8299
_cell_length_b 4.8299
_cell_length_c 13.8777
_cell_angle_alpha 90.00
_cell_angle_beta 90.00
_cell_angle_gamma 120.00
loop_
_atom_site_label
_atom_site_fract_x
_atom_site_fract_y
_atom_site_fract_z
Pa1 0.0000 0.0000 0.2397
Be1 0.0000 0.0000 0.5000
Sn1 0.0000 0.0000 0.0000
```

Properties
relative energy among the computed polymorphs	0.239	eV per atom
density of states at the Fermi level	8.6	states/eV/f.u.
formation enthalpy at 0 K	0.33	eV per atom
total DFT energy (no corrections)	-76.23	eV/cell

---

# 5
A geometry-optimized Ac2PuTlO8 structure, computed with GGA-PBE.

Cell and atoms, written as CIF:
```
data_Ac2PuTlO8
_chemical_formula_sum 'Ac2 Pu1 Tl1 O8'
_space_group_name_H-M_alt 'P 1 2/m 1'
_space_group_IT_number 10
_space_group_name_Hall '-P 2y'
_cell_length_a 4.4375
_cell_length_b 8.1080
_cell_length_c 5.5622
_cell_angle_alpha 90.00
_cell_angle_beta 98.26
_cell_angle_gamma 90.00
loop_
_atom_site_label
_atom_site_fract_x
_atom_site_fract_y
_atom_site_fract_z
Ac1 0.0000 0.2406 0.0000
Pu1 0.5000 0.0000 0.5000
Tl1 0.5000 0.5000 0.5000
O1 0.1011 0.0000 0.2850
O2 0.1393 0.5000 0.2415
O3 0.4245 0.1935 0.7273
```

Properties
formation energy without anion corrections	-2437	meV/atom
total DFT energy (no corrections)	-93.82	eV/cell

---

# 6
A geometry-optimized V6Ga2Pt structure, computed with GGA-PBE.

Cell and atoms, written as CIF:
```
data_V6Ga2Pt
_chemical_formula_sum 'V6 Ga2 Pt1'
_space_group_name_H-M_alt 'P -1'
_space_group_IT_number 2
_space_group_name_Hall '-P 1'
_cell_length_a 2.6377
_cell_length_b 6.5335
_cell_length_c 7.4615
_cell_angle_alpha 101.62
_cell_angle_beta 91.19
_cell_angle_gamma 95.25
loop_
_atom_site_label
_atom_site_fract_x
_atom_site_fract_y
_atom_site_fract_z
V1 0.0531 0.1575 0.2693
V2 0.1091 0.5002 0.8255
V3 0.2857 0.8507 0.3976
Ga1 0.4651 0.1857 0.9426
Pt1 0.5000 0.5000 0.5000
```

Properties
density of states at the Fermi level	9.1	states/eV/f.u.
formation enthalpy at 0 K	-0.20	eV per atom
total DFT energy (no corrections)	-68.61	eV/cell

---

# 7
A geometry-optimized MgTaAs2 structure, computed with GGA-PBE.

Cell and atoms, written as CIF:
```
data_MgTaAs2
_chemical_formula_sum 'Mg2 Ta2 As4'
_space_group_name_H-M_alt 'I -4 m 2'
_space_group_IT_number 119
_space_group_name_Hall 'I -4 -2'
_cell_length_a 3.8111
_cell_length_b 3.8111
_cell_length_c 9.9001
_cell_angle_alpha 90.00
_cell_angle_beta 90.00
_cell_angle_gamma 90.00
loop_
_atom_site_label
_atom_site_fract_x
_atom_site_fract_y
_atom_site_fract_z
Mg1 0.0000 0.0000 0.0000
Ta1 0.0000 0.5000 0.7500
As1 0.0000 0.0000 0.5000
As2 0.0000 0.5000 0.2500
```

Properties
density of states at the Fermi level	2.7	states/eV/f.u.
formation enthalpy at 0 K	-0.04	eV per atom
total DFT energy (no corrections)	-45.82	eV/cell

---

# 8
A geometry-optimized CeNpTeSe2 structure, computed with GGA-PBE.

Cell and atoms, written as CIF:
```
data_CeNpTeSe2
_chemical_formula_sum 'Ce2 Np2 Te2 Se4'
_space_group_name_H-M_alt 'I 4 m m'
_space_group_IT_number 107
_space_group_name_Hall 'I 4 -2'
_cell_length_a 4.4636
_cell_length_b 4.4636
_cell_length_c 12.7666
_cell_angle_alpha 90.00
_cell_angle_beta 90.00
_cell_angle_gamma 90.00
loop_
_atom_site_label
_atom_site_fract_x
_atom_site_fract_y
_atom_site_fract_z
Ce1 0.0000 0.0000 0.0000
Np1 0.0000 0.0000 0.2066
Te1 0.0000 0.0000 0.6026
Se1 0.0000 0.5000 0.3438
```

Properties
formation energy without anion corrections	-780	meV/atom
density of states at the Fermi level	8.4	states/eV/f.u.
total DFT energy (no corrections)	-65.77	eV/cell

---

# 9
A geometry-optimized TlW structure, computed with GGA-PBE.

Cell and atoms, written as CIF:
```
data_TlW
_chemical_formula_sum 'Tl1 W1'
_space_group_name_H-M_alt 'P 4/m m m'
_space_group_IT_number 123
_space_group_name_Hall '-P 4 2'
_cell_length_a 2.8973
_cell_length_b 2.8973
_cell_length_c 4.6805
_cell_angle_alpha 90.00
_cell_angle_beta 90.00
_cell_angle_gamma 90.00
loop_
_atom_site_label
_atom_site_fract_x
_atom_site_fract_y
_atom_site_fract_z
Tl1 0.0000 0.0000 0.0000
W1 0.5000 0.5000 0.5000
```

Properties
relative energy among the computed polymorphs	0.699	eV per atom
density of states at the Fermi level	2.0	states/eV/f.u.
formation enthalpy at 0 K	1.32	eV per atom
total DFT energy (no corrections)	-12.67	eV/cell

---

# 10
A geometry-optimized YHfCu2H structure, computed with GGA-PBE.

Cell and atoms, written as CIF:
```
data_YHfCu2H
_chemical_formula_sum 'Y1 Hf1 Cu2 H1'
_space_group_name_H-M_alt 'P 4/m m m'
_space_group_IT_number 123
_space_group_name_Hall '-P 4 2'
_cell_length_a 4.6882
_cell_length_b 4.6882
_cell_length_c 3.6598
_cell_angle_alpha 90.00
_cell_angle_beta 90.00
_cell_angle_gamma 90.00
loop_
_atom_site_label
_atom_site_fract_x
_atom_site_fract_y
_atom_site_fract_z
Y1 0.0000 0.0000 0.0000
Hf1 0.5000 0.5000 0.0000
Cu1 0.0000 0.5000 0.5000
H1 0.5000 0.5000 0.5000
```

Properties
density of states at the Fermi level	4.7	states/eV/f.u.
total DFT energy (no corrections)	-27.88	eV/cell

---

# 11
A geometry-optimized AcPaSi2Rh5 structure, computed with GGA-PBE.

Cell and atoms, written as CIF:
```
data_AcPaSi2Rh5
_chemical_formula_sum 'Ac1 Pa1 Si2 Rh5'
_space_group_name_H-M_alt 'P 4/m m m'
_space_group_IT_number 123
_space_group_name_Hall '-P 4 2'
_cell_length_a 4.0935
_cell_length_b 4.0935
_cell_length_c 10.8484
_cell_angle_alpha 90.00
_cell_angle_beta 90.00
_cell_angle_gamma 90.00
loop_
_atom_site_label
_atom_site_fract_x
_atom_site_fract_y
_atom_site_fract_z
Ac1 0.0000 0.0000 0.0000
Pa1 0.0000 0.0000 0.5000
Si1 0.5000 0.5000 0.2164
Rh1 0.0000 0.5000 0.3262
Rh2 0.5000 0.5000 0.0000
```

Properties
formation energy without anion corrections	-790	meV/atom
density of states at the Fermi level	3.4	states/eV/f.u.
total DFT energy (no corrections)	-68.31	eV/cell

---

# 12
A geometry-optimized YGaPb2 structure, computed with GGA-PBE.

Cell and atoms, written as CIF:
```
data_YGaPb2
_chemical_formula_sum 'Y1 Ga1 Pb2'
_space_group_name_H-M_alt 'P 4/m m m'
_space_group_IT_number 123
_space_group_name_Hall '-P 4 2'
_cell_length_a 4.6665
_cell_length_b 4.6665
_cell_length_c 4.8175
_cell_angle_alpha 90.00
_cell_angle_beta 90.00
_cell_angle_gamma 90.00
loop_
_atom_site_label
_atom_site_fract_x
_atom_site_fract_y
_atom_site_fract_z
Y1 0.0000 0.0000 0.0000
Ga1 0.5000 0.5000 0.0000
Pb1 0.0000 0.5000 0.5000
```

Properties
density of states at the Fermi level	1.6	states/eV/f.u.
formation enthalpy at 0 K	-0.32	eV per atom
total DFT energy (no corrections)	-18.17	eV/cell